(1)
# KCoPt2C

Crystalline KCoPt2C at its relaxed geometry (PBE, Alexandria).

Unit cell a=4.339 b=3.959 c=4.339 alpha=90.00 beta=90.00 gamma=90.00
Each line ends with the local moment (μB).
Sites, in units of the cell vectors:
K  0.500  0.500  0.500  0.00
Co  0.000  0.500  0.000  0.31
C  0.000  0.000  0.000  -0.02
Pt  0.000  0.000  0.500  -0.03
Pt  0.500  0.000  0.000  -0.07

## Properties
The total energy comes out at -5.3648 eV/atom. Its space group is No. 123.


(2)
# KSrCoC2

Crystalline KSrCoC2 at its relaxed geometry (PBE, Alexandria).

Unit cell a=4.715 b=5.330 c=4.715 alpha=90.00 beta=90.00 gamma=90.00
Each line ends with the local moment (μB).
Sites, in units of the cell vectors:
Sr  0.000  0.500  0.000  -0.02
K  0.000  0.000  0.000  -0.06
Co  0.500  0.500  0.500  2.10
C  0.000  0.000  0.500  -0.19
C  0.500  0.000  0.000  -0.25

## Properties
The total energy comes out at -2.4883 eV/atom. Its space group is No. 123.


(3)
# KTiCoC2

Crystalline KTiCoC2 at its relaxed geometry (PBE, Alexandria).

Unit cell a=3.838 b=4.729 c=3.838 alpha=90.00 beta=90.00 gamma=90.00
Each line ends with the local moment (μB).
Sites, in units of the cell vectors:
K  0.000  0.500  0.000  0.00
Co  0.000  0.000  0.000  0.33
C  0.000  0.000  0.500  0.02
C  0.500  0.000  0.000  0.01
Ti  0.500  0.500  0.500  0.01

## Properties
The total energy comes out at -4.8392 eV/atom. Its space group is No. 123.


(4)
# LaCoC2

Crystalline LaCoC2 at its relaxed geometry (PBE, Alexandria).

Unit cell a=4.298 b=4.298 c=6.743 alpha=71.42 beta=71.42 gamma=90.00
Sites, in units of the cell vectors:
C  0.375  0.125  0.250
C  0.375  0.625  0.250
C  0.375  0.625  0.750
C  0.875  0.625  0.750
Co  0.500  0.500  0.000
Co  0.250  0.750  0.500
La  0.000  0.000  0.000
La  0.750  0.250  0.500

## Properties
The total energy comes out at -7.3389 eV/atom. Its space group is No. 141.


(5)
# LaCo2C

Crystalline LaCo2C at its relaxed geometry (PBE, Alexandria).

Unit cell a=4.474 b=4.474 c=7.117 alpha=71.68 beta=71.68 gamma=90.00
Each line ends with the local moment (μB).
Sites, in units of the cell vectors:
C  0.500  0.500  0.000  0.03
C  0.250  0.750  0.500  0.03
Co  0.375  0.125  0.250  0.62
Co  0.375  0.625  0.250  0.64
Co  0.375  0.625  0.750  0.45
Co  0.875  0.625  0.750  0.56
La  0.000  0.000  0.000  -0.09
La  0.750  0.250  0.500  -0.09

## Properties
The total energy comes out at -7.0005 eV/atom. Its space group is No. 141.


(6)
# La2CoC2

Crystalline La2CoC2 at its relaxed geometry (PBE, Alexandria).

Unit cell a=3.578 b=6.139 c=8.615 alpha=76.57 beta=78.02 gamma=73.06
Sites, in units of the cell vectors:
La  0.710  0.229  0.351
La  0.924  0.246  0.906
La  0.290  0.771  0.649
La  0.076  0.754  0.094
Co  0.556  0.231  0.657
Co  0.444  0.769  0.343
C  0.008  0.415  0.570
C  0.613  0.959  0.815
C  0.992  0.585  0.430
C  0.387  0.041  0.185

## Properties
The total energy comes out at -7.0165 eV/atom. Its space group is No. 12.


(7)
# LaCoC2

Crystalline LaCoC2 at its relaxed geometry (PBE, Alexandria).

Unit cell a=4.178 b=4.178 c=4.178 alpha=60.00 beta=60.00 gamma=60.00
Each line ends with the local moment (μB).
Sites, in units of the cell vectors:
C  0.250  0.250  0.250  -0.09
C  0.750  0.750  0.750  -0.09
Co  0.000  0.000  0.000  0.90
La  0.500  0.500  0.500  -0.04

## Properties
The total energy comes out at -6.4647 eV/atom. Its space group is No. 225.


(8)
# LaCoC3

Crystalline LaCoC3 at its relaxed geometry (PBE, Alexandria).

Unit cell a=4.382 b=4.382 c=4.382 alpha=90.00 beta=90.00 gamma=90.00
Sites, in units of the cell vectors:
C  0.000  0.500  0.000
C  0.000  0.000  0.500
C  0.500  0.000  0.000
Co  0.500  0.500  0.500
La  0.000  0.000  0.000

## Properties
Its space group is No. 221. As for the distance to the lowest polymorph of the same formula: 10.91 eV/f.u.


(9)
# LaCoC2

Crystalline LaCoC2 at its relaxed geometry (PBE, Alexandria).

Unit cell a=3.869 b=3.869 c=7.444 alpha=81.45 beta=81.45 gamma=90.00
Sites, in units of the cell vectors:
C  0.558  0.404  0.574
C  0.404  0.558  0.074
C  0.508  0.151  0.726
C  0.151  0.508  0.226
Co  0.630  0.485  0.305
Co  0.485  0.630  0.805
La  0.924  0.073  0.998
La  0.073  0.924  0.498

## Properties
The total energy comes out at -7.9055 eV/atom. Its space group is No. 9.


(10)
# La5CoC4

Crystalline La5CoC4 at its relaxed geometry (PBE, Alexandria).

Unit cell a=5.799 b=6.606 c=6.606 alpha=78.89 beta=63.97 gamma=63.97
Sites, in units of the cell vectors:
La  0.312  0.579  0.796
La  0.108  0.204  0.579
La  0.890  0.796  0.421
La  0.686  0.421  0.204
La  0.499  0.000  0.000
Co  0.999  0.000  0.000
C  0.803  0.596  0.795
C  0.599  0.205  0.596
C  0.399  0.795  0.404
C  0.195  0.404  0.205

## Properties
The total energy comes out at -6.5362 eV/atom. Its space group is No. 87.


(11)
# LaCo2C2

Crystalline LaCo2C2 at its relaxed geometry (PBE, Alexandria).

Unit cell a=3.378 b=3.378 c=5.881 alpha=106.76 beta=106.76 gamma=90.01
Sites, in units of the cell vectors:
La  0.000  0.000  0.000
Co  0.750  0.250  0.500
Co  0.250  0.750  0.500
C  0.658  0.658  0.317
C  0.342  0.342  0.683

## Properties
The total energy comes out at -7.6780 eV/atom. Its space group is No. 139.


(12)
# La8Co2C

Crystalline La8Co2C at its relaxed geometry (PBE, Alexandria).

Unit cell a=3.767 b=9.015 c=9.721 alpha=92.08 beta=101.17 gamma=90.00
Sites, in units of the cell vectors:
La  0.601  0.543  0.203
La  0.362  0.041  0.725
La  0.227  0.331  0.454
La  0.982  0.804  0.965
La  0.773  0.669  0.546
La  0.638  0.959  0.275
La  0.399  0.457  0.797
La  0.018  0.196  0.035
Co  0.159  0.719  0.317
Co  0.841  0.281  0.683
C  0.500  0.000  0.000

## Properties
The total energy comes out at -5.7845 eV/atom. Its space group is No. 12.